Record 1
VASP calculation (PBE) on a relaxed Ho6AgIr5 crystal.

```
12
Lattice="-4.604 -1.568 0.556 4.685 -6.784 -1.890 1.805 4.742 6.768" Properties=species:S:1:pos:R:3 pbc="T T T"
Ho 0.916 -0.731 5.530
Ho 3.701 -1.894 3.753
Ir 0.943 -1.805 2.717
Ir -0.880 -4.507 1.554
Ho -1.815 -1.716 1.681
Ir 2.765 0.897 3.880
Ho -0.012 1.047 2.853
Ag 0.000 0.000 0.000
Ir 1.909 -5.675 -0.190
Ir -0.024 2.064 5.623
Ho 1.898 -4.658 2.581
Ho 0.969 -2.879 -0.096
```

Its calculated volume is 20.36 Å³/atom. As for the energy of formation: -783 meV/atom. For the final energy, the calculation gives -7.00 eV/atom.

---

Record 2
VASP calculation (PBE) on a relaxed IrAuF crystal.

```
12
Lattice="-1.128 -0.747 -2.357 0.810 -8.737 2.383 -7.385 0.257 3.452" Properties=species:S:1:pos:R:3 pbc="T T T"
F -2.728 -6.830 1.904
Ir -4.521 -6.768 2.742
Ir -3.183 -2.460 0.736
Ir -0.669 -2.154 1.003
Au -0.564 -0.374 -1.179
F -4.976 -2.397 1.574
F -6.261 -1.959 3.617
Au -3.288 -4.240 2.918
Ir -5.906 -6.326 4.832
Au -0.159 -4.742 0.013
F -0.314 -6.521 2.218
Au -3.693 0.129 1.726
```

The uncorrected formation energy is -152 meV per atom. As for the energy above the most stable polymorph in this dataset: 32 kJ/mol of formula units. Its calculated volume is 16.80 Å³/atom. For the final energy, the calculation gives -4.82 eV/atom.

---

Record 3
VASP calculation (PBE) on a relaxed Na3Y3US8 crystal.

```
15
Lattice="-1.886 7.721 -0.765 -5.771 -5.461 0.781 4.705 1.785 6.416" Properties=species:S:1:pos:R:3 pbc="T T T"
S -2.175 -0.337 1.958
S -0.219 6.299 1.227
Y -0.533 -1.838 3.598
Na -3.829 1.130 0.008
S -2.733 -2.254 5.205
Y 1.409 4.753 2.825
S -3.693 1.677 4.815
S -3.157 3.518 1.625
S 0.741 2.368 1.616
S 0.205 0.526 4.807
U 2.353 0.893 3.208
Na -2.885 -2.731 0.390
Y -1.476 2.022 3.216
Na 0.000 0.000 0.000
S -0.777 4.382 4.474
```

The uncorrected formation energy is -1740 meV per atom. Its calculated volume is 24.75 Å³/atom. For the final energy, the calculation gives -6.25 eV/atom.

---

Record 4
VASP calculation (PBE) on a relaxed Sm3Y8Ho4 crystal.

```
15
Lattice="6.138 0.000 3.311 2.176 5.740 3.311 -2.536 -1.750 12.048" Properties=species:S:1:pos:R:3 pbc="T T T"
Y 1.379 0.952 4.790
Sm -0.180 1.995 7.679
Sm -1.268 -0.875 6.024
Y 5.616 3.877 7.958
Ho 5.503 3.799 4.488
Y 0.164 0.113 10.711
Y 1.253 2.987 12.368
Y 4.526 1.003 6.300
Ho 0.000 0.000 0.000
Ho 0.276 0.191 14.181
Ho 2.890 1.995 9.334
Y 4.401 3.038 13.879
Y 3.237 0.113 12.368
Sm 1.801 -0.875 7.679
Y 2.542 3.877 6.300
```

As for the energy above the most stable polymorph in this dataset: 0 kJ/mol of formula units. Its calculated volume is 33.04 Å³/atom. As for the energy of formation: 159 meV/atom. For the final energy, the calculation gives -5.45 eV/atom.

---

Question: Which formula does entry 1 have?
Answer: Ho6AgIr5